NiTeI2O, relaxed, DFT GGA+U; ΔE to the lowest computed polymorph = 836 meV per atom; symmetry = P4/mmm; total magnetic moment = 0.0007 μB/atom; crystal system = tetragonal
1.0
5.0899 0.0000 0.0000
0.0000 5.0899 0.0000
0.0000 0.0000 5.0035
Ni Te I O
1 1 2 1
Cartesian
0.0000 0.0000 0.0000
0.0000 0.0000 2.5017
0.0000 2.5450 0.0000
2.5450 0.0000 0.0000
2.5450 2.5450 2.5017